Compound: LiLaTl
Source: Alexandria
Functional: PBE
Structure: optimized geometry

abc: 3.5764 3.5764 22.9238
angles: 90.00 90.00 120.00
Space group R3m (No. 160, hexagonal axes)
One atom of each set of equivalent atoms:
Li 0.0000 0.0000 0.0000 x3
La 0.0000 0.0000 0.2094 x3
Tl 0.0000 0.0000 0.7552 x3

Offset from the most stable computed form: 249 meV per atom
Formation enthalpy at 0 K: -1.4 kcal/mol of atoms
E_tot: -3.132 eV per atom
V: 253.9 Å³/cell

---

Compound: Ta4NbMo3
Source: Alexandria
Functional: PBE
Structure: optimized geometry

abc: 3.2484 4.5953 9.2008
angles: 90.00 90.00 90.00
Space group Pmmm (No. 47)
One atom of each set of equivalent atoms:
Ta 0.0000 0.0000 0.0000 x1
Ta 0.0000 0.0000 0.5000 x1
Ta 0.0000 0.5000 0.2432 x2
Nb 0.5000 0.5000 0.5000 x1
Mo 0.5000 0.0000 0.2497 x2
Mo 0.5000 0.5000 0.0000 x1

Formation enthalpy at 0 K: -3.5 kcal/mol of atoms
E_tot: -11.398 eV per atom
V: 137.3 Å³/cell